(1)
An optimized crystal structure of ZnH6C10N6Cl2. Source: OQMD via LeMat-Bulk, functional PBE.

Properties
The value obtained for the raw total energy is -6.67 eV/atom.

a b c (Å): 11.3408 11.3408 7.3487
angles (deg): 98.59 98.59 17.89
Last column: nearest neighbours and their distance in Å.
Element x y z (fractional)
1 C 0.1381 0.1381 0.1407  1 H 1.09
2 C 0.2484 0.2484 0.2133  1 N 1.17
3 C 0.1903 0.1903 0.2725  1 N 1.34, 2 C 1.40-1.43
4 C 0.0811 0.0811 0.3759  1 H 1.09
5 C 0.8663 0.8663 0.4950  1 H 1.09
6 C 0.1337 0.1337 0.5050  1 H 1.09
7 C 0.9189 0.9189 0.6241  1 H 1.09
8 C 0.8097 0.8097 0.7275  1 N 1.34, 2 C 1.40-1.43
9 C 0.7516 0.7516 0.7867  1 N 1.17
10 C 0.8619 0.8619 0.8593  1 H 1.09
11 Cl 0.4590 0.4590 0.1825  2 Zn 2.47
12 Cl 0.5410 0.5410 0.8175  2 Zn 2.47
13 H 0.8601 0.8601 0.0063  1 C 1.09
14 H 0.8684 0.8684 0.3477  1 C 1.09
15 H 0.0363 0.0363 0.4158  1 C 1.09
16 H 0.9637 0.9637 0.5842  1 C 1.09
17 H 0.1316 0.1316 0.6523  1 C 1.09
18 H 0.1399 0.1399 0.9937  1 C 1.09
19 N 0.2943 0.2943 0.1563  1 C 1.17
20 N 0.0837 0.0837 0.1950  2 C 1.34
21 N 0.1884 0.1884 0.4546  2 C 1.33-1.34
22 N 0.8116 0.8116 0.5454  2 C 1.33-1.34
23 N 0.9163 0.9163 0.8050  2 C 1.34
24 N 0.7057 0.7057 0.8437  1 C 1.17
25 Zn 0.0000 0.0000 0.0000  2 N 2.18

(2)
An optimized crystal structure of ZnH6C10N2Cl6. Source: OQMD via LeMat-Bulk, functional PBE.

Properties
The value obtained for the raw total energy is -5.82 eV/atom.

a b c (Å): 13.9120 13.9120 3.6374
angles (deg): 90.00 90.00 90.00
Last column: nearest neighbours and their distance in Å.
Element x y z (fractional)
1 C 0.2251 0.1601 0.3978  2 C 1.39
2 C 0.7251 0.3399 0.3978  2 C 1.39
3 C 0.2749 0.6601 0.3978  2 C 1.39
4 C 0.7749 0.8399 0.3978  2 C 1.39
5 C 0.2971 0.0904 0.4045  1 H 1.09
6 C 0.7971 0.4096 0.4045  1 H 1.09
7 C 0.2029 0.5904 0.4045  1 H 1.09
8 C 0.7029 0.9096 0.4045  1 H 1.09
9 C 0.7456 0.2456 0.5000  1 H 1.09
10 C 0.2456 0.2544 0.5000  1 H 1.09
11 C 0.7544 0.7456 0.5000  1 H 1.09
12 C 0.2544 0.7544 0.5000  1 H 1.09
13 C 0.4096 0.2029 0.5955  1 H 1.09
14 C 0.9096 0.2971 0.5955  1 H 1.09
15 C 0.0904 0.7029 0.5955  1 H 1.09
16 C 0.5904 0.7971 0.5955  1 H 1.09
17 C 0.8399 0.2251 0.6022  2 C 1.39
18 C 0.3399 0.2749 0.6022  2 C 1.39
19 C 0.6601 0.7251 0.6022  2 C 1.39
20 C 0.1601 0.7749 0.6022  2 C 1.39
21 Cl 0.5867 0.0867 0.0000  2 Zn 2.49, 4 H 2.60-2.73
22 Cl 0.0867 0.4133 0.0000  2 Zn 2.49, 4 H 2.60-2.73
23 Cl 0.9133 0.5867 0.0000  2 Zn 2.49, 4 H 2.60-2.73
24 Cl 0.4133 0.9133 0.0000  2 Zn 2.49, 4 H 2.60-2.73
25 Cl 0.1106 0.1287 0.2615  1 C 1.72
26 Cl 0.6106 0.3713 0.2615  1 C 1.72
27 Cl 0.3894 0.6287 0.2615  1 C 1.72
28 Cl 0.8894 0.8713 0.2615  1 C 1.72
29 Cl 0.8713 0.1106 0.7385  1 C 1.72
30 Cl 0.3713 0.3894 0.7385  1 C 1.72
31 Cl 0.6287 0.6106 0.7385  1 C 1.72
32 Cl 0.1287 0.8894 0.7385  1 C 1.72
33 H 0.2829 0.0161 0.3275  1 C 1.09
34 H 0.7829 0.4839 0.3275  1 C 1.09
35 H 0.2171 0.5161 0.3275  1 C 1.09
36 H 0.7171 0.9839 0.3275  1 C 1.09
37 H 0.6903 0.1903 0.5000  1 C 1.09
38 H 0.1903 0.3097 0.5000  1 C 1.09
39 H 0.8097 0.6903 0.5000  1 C 1.09
40 H 0.3097 0.8097 0.5000  1 C 1.09
41 H 0.4839 0.2171 0.6725  1 C 1.09
42 H 0.9839 0.2829 0.6725  1 C 1.09
43 H 0.0161 0.7171 0.6725  1 C 1.09
44 H 0.5161 0.7829 0.6725  1 C 1.09
45 N 0.3876 0.1124 0.5000  2 C 1.34
46 N 0.8876 0.3876 0.5000  2 C 1.34
47 N 0.1124 0.6124 0.5000  2 C 1.34
48 N 0.6124 0.8876 0.5000  2 C 1.34
49 Zn 0.5000 0.0000 0.5000  2 N 2.21
50 Zn 0.0000 0.5000 0.5000  2 N 2.21

(3)
An optimized crystal structure of ZnH12C2N6Cl4. Source: OQMD via LeMat-Bulk, functional PBE.

Properties
The value obtained for the raw total energy is -5.22 eV/atom.

a b c (Å): 7.1551 12.3275 6.8866
angles (deg): 92.63 103.48 82.74
Last column: nearest neighbours and their distance in Å.
Element x y z (fractional)
1 C 0.6857 0.4855 0.2624  3 N 1.33-1.34
2 C 0.7640 0.1205 0.3966  3 N 1.34
3 C 0.2360 0.8795 0.6034  3 N 1.34
4 C 0.3143 0.5145 0.7376  3 N 1.33-1.34
5 Cl 0.1374 0.7287 0.1104  1 Zn 2.27, 2 H 2.33-2.44
6 Cl 0.6429 0.7892 0.1844  1 Zn 2.26, 2 H 2.35-2.43
7 Cl 0.2299 0.0589 0.1955  2 H 2.24-2.33, 1 Zn 2.29
8 Cl 0.2398 0.3573 0.2883  3 H 2.27-2.40, 1 Zn 2.28
9 Cl 0.7602 0.6427 0.7117  3 H 2.27-2.40, 1 Zn 2.28
10 Cl 0.7701 0.9411 0.8045  2 H 2.24-2.33, 1 Zn 2.29
11 Cl 0.3571 0.2108 0.8156  1 Zn 2.26, 2 H 2.35-2.43
12 Cl 0.8626 0.2713 0.8896  1 Zn 2.27, 2 H 2.33-2.44
13 H 0.8307 0.0605 0.1333  1 N 1.02
14 H 0.5930 0.0555 0.1507  1 N 1.02
15 H 0.5098 0.6308 0.2316  1 N 1.02
16 H 0.8352 0.6117 0.2347  1 N 1.02
17 H 0.9711 0.4810 0.2512  1 N 1.02
18 H 0.3966 0.5148 0.2574  1 N 1.02
19 H 0.8102 0.3277 0.2634  1 N 1.02
20 H 0.5708 0.3457 0.2889  1 N 1.02
21 H 0.3508 0.8298 0.3642  1 N 1.02
22 H 0.0343 0.8166 0.3812  1 N 1.02
23 H 0.0541 0.1224 0.4152  1 N 1.02
24 H 0.4867 0.1208 0.4292  1 N 1.02
25 H 0.5133 0.8793 0.5708  1 N 1.02
26 H 0.9459 0.8776 0.5848  1 N 1.02
27 H 0.9657 0.1834 0.6188  1 N 1.02
28 H 0.6492 0.1702 0.6358  1 N 1.02
29 H 0.4292 0.6543 0.7111  1 N 1.02
30 H 0.1898 0.6723 0.7365  1 N 1.02
31 H 0.6034 0.4852 0.7426  1 N 1.02
32 H 0.0289 0.5190 0.7488  1 N 1.02
33 H 0.1648 0.3883 0.7653  1 N 1.02
34 H 0.4902 0.3692 0.7684  1 N 1.02
35 H 0.4070 0.9445 0.8493  1 N 1.02
36 H 0.1693 0.9395 0.8667  1 N 1.02
37 N 0.7290 0.0723 0.2160  2 H 1.02
38 N 0.8418 0.5289 0.2431  2 H 1.02
39 N 0.5186 0.5490 0.2556  2 H 1.02
40 N 0.6965 0.3781 0.2939  2 H 1.02
41 N 0.9408 0.1465 0.4808  2 H 1.02
42 N 0.6192 0.1456 0.4896  2 H 1.02
43 N 0.3808 0.8544 0.5104  2 H 1.02
44 N 0.0592 0.8535 0.5192  2 H 1.02
45 N 0.3035 0.6219 0.7061  2 H 1.02
46 N 0.4814 0.4510 0.7444  2 H 1.02
47 N 0.1582 0.4711 0.7569  2 H 1.02
48 N 0.2710 0.9277 0.7840  2 H 1.02
49 Zn 0.1765 0.2258 0.0470  4 Cl 2.26-2.29
50 Zn 0.8235 0.7742 0.9530  4 Cl 2.26-2.29

(4)
An optimized crystal structure of ZnH9C11N5Cl2. Source: OQMD via LeMat-Bulk, functional PBE.

Properties
The value obtained for the raw total energy is -6.48 eV/atom.

a b c (Å): 7.8570 9.1850 9.4009
angles (deg): 89.79 68.57 85.83
Last column: nearest neighbours and their distance in Å.
Element x y z (fractional)
1 C 0.3333 0.6678 0.0228  1 H 1.09
2 C 0.2309 0.5511 0.0341  1 H 1.08
3 C 0.4298 0.9281 0.1662  1 H 1.09
4 C 0.4546 0.7826 0.2035  2 C 1.39-1.40, 1 N 1.42
5 C 0.2788 0.5641 0.2479  1 H 1.09
6 C 0.6264 0.0002 0.2780  1 H 1.09
7 C 0.5672 0.7452 0.2848  1 H 1.09
8 C 0.6538 0.8576 0.3220  2 C 1.39-1.40, 1 N 1.42
9 C 0.9544 0.8753 0.3469  1 H 1.09
10 C 0.0272 0.8273 0.4517  1 H 1.08
11 C 0.2483 0.2468 0.4722  1 H 1.09
12 C 0.7517 0.7532 0.5278  1 H 1.09
13 C 0.9728 0.1727 0.5483  1 H 1.08
14 C 0.0456 0.1247 0.6531  1 H 1.09
15 C 0.3462 0.1424 0.6780  2 C 1.39-1.40, 1 N 1.42
16 C 0.4328 0.2548 0.7152  1 H 1.09
17 C 0.3736 0.9998 0.7220  1 H 1.09
18 C 0.7212 0.4359 0.7521  1 H 1.09
19 C 0.5454 0.2174 0.7965  2 C 1.39-1.40, 1 N 1.42
20 C 0.5702 0.0719 0.8338  1 H 1.09
21 C 0.7691 0.4489 0.9659  1 H 1.08
22 C 0.6667 0.3322 0.9772  1 H 1.09
23 Cl 0.0849 0.1545 0.0712  1 Zn 2.22
24 Cl 0.7326 0.3926 0.3647  1 Zn 2.30, 1 H 2.51
25 Cl 0.2674 0.6074 0.6353  1 Zn 2.30, 1 H 2.51
26 Cl 0.9151 0.8455 0.9288  1 Zn 2.22
27 H 0.8179 0.4917 0.0500  1 C 1.08
28 H 0.6120 0.2545 0.0670  1 C 1.09
29 H 0.3376 0.9602 0.1063  1 C 1.09
30 H 0.0071 0.9379 0.2435  1 C 1.09
31 H 0.6969 0.0892 0.3035  1 C 1.09
32 H 0.5943 0.6325 0.3126  1 C 1.09
33 H 0.2754 0.5484 0.3639  1 C 1.09
34 H 0.3768 0.2934 0.4080  1 C 1.09
35 H 0.1614 0.8410 0.4548  1 C 1.08
36 H 0.8386 0.1590 0.5452  1 C 1.08
37 H 0.6232 0.7066 0.5920  1 C 1.09
38 H 0.7246 0.4516 0.6361  1 C 1.09
39 H 0.4057 0.3675 0.6874  1 C 1.09
40 H 0.3031 0.9108 0.6965  1 C 1.09
41 H 0.9929 0.0621 0.7565  1 C 1.09
42 H 0.6624 0.0398 0.8937  1 C 1.09
43 H 0.3880 0.7455 0.9330  1 C 1.09
44 H 0.1821 0.5083 0.9500  1 C 1.08
45 N 0.3638 0.6741 0.1588  3 C 1.36-1.42
46 N 0.1970 0.4882 0.1746  2 C 1.33-1.38
47 N 0.5149 0.0348 0.2024  2 C 1.34
48 N 0.7795 0.8277 0.3967  3 C 1.36-1.42
49 N 0.0993 0.2479 0.4364  2 C 1.33-1.38
50 N 0.9007 0.7521 0.5636  2 C 1.33-1.38
51 N 0.2205 0.1723 0.6033  3 C 1.36-1.42
52 N 0.4851 0.9652 0.7976  2 C 1.34
53 N 0.8030 0.5118 0.8254  2 C 1.33-1.38
54 N 0.6362 0.3259 0.8412  3 C 1.36-1.42
55 Zn 0.0402 0.3208 0.2542  2 N 2.01-2.03, 1 Cl 2.22
56 Zn 0.9598 0.6792 0.7458  2 N 2.01-2.03, 1 Cl 2.22